Entry from Alexandria: a relaxed Hf2MgMnTc crystal (PBE). Values from VASP.

crystal system = tetragonal
energy of formation = 1102.7 meV/atom
total energy = -7.105 eV per atom
total moment = 0.049 μB/cell

Cell and atoms, written as Quantum ESPRESSO input:
```
&SYSTEM
  ibrav = 0, nat = 5, ntyp = 4
/
ATOMIC_SPECIES
Hf 178.49 Hf.upf
Mg 24.30 Mg.upf
Mn 54.94 Mn.upf
Tc 98.00 Tc.upf
CELL_PARAMETERS angstrom
4.8630 0.0000 0.0000
0.0000 4.8630 0.0000
0.0000 0.0000 4.8921
ATOMIC_POSITIONS angstrom
Hf 0.0000 2.4315 0.0000
Hf 2.4315 0.0000 0.0000
Mg 0.0000 0.0000 2.4461
Mn 2.4315 2.4315 2.4461
Tc 0.0000 0.0000 0.0000
```